Below is crystalline Pm3VO6 at its relaxed geometry, with properties calculated at the GGA+U level.

Results
M_tot	2.00	μB/f.u.
total energy	-8.197	eV per atom

The structure in CIF format:
```
data_Pm3VO6
_space_group_name_H-M_alt 'C m c 21'
_space_group_IT_number 36
_space_group_name_Hall 'C 2c -2'
_cell_length_a 9.203
_cell_length_b 11.531
_cell_length_c 5.665
_cell_angle_alpha 90.00
_cell_angle_beta 90.00
_cell_angle_gamma 90.00
loop_
_atom_site_label
_atom_site_type_symbol
_atom_site_fract_x
_atom_site_fract_y
_atom_site_fract_z
Pm1 Pm 0.000 0.103 0.000
Pm2 Pm 0.194 0.394 0.955
V1 V 0.000 0.308 0.424
O1 O 0.000 0.284 0.763
O2 O 0.000 0.459 0.268
O3 O 0.156 0.238 0.245
O4 O 0.160 0.014 0.726
```